First-principles (PBE+U) data for a relaxed structure of SiNiO2, as listed in Alexandria.

Computed properties:
Energy   -22.7 eV per formula unit
Density of states at the Fermi level   0.0 states/eV/f.u.

```
data_SiNiO2
_chemical_formula_sum 'Si3 Ni3 O6'
_cell_length_a 2.9064
_cell_length_b 2.9064
_cell_length_c 16.9164
_cell_angle_alpha 90.00
_cell_angle_beta 90.00
_cell_angle_gamma 120.00
_space_group_name_H-M_alt 'R -3 m'
_space_group_IT_number 166
_space_group_name_Hall '-R 3 2"'
loop_
_atom_site_label
_atom_site_type_symbol
_atom_site_fract_x
_atom_site_fract_y
_atom_site_fract_z
Si1 Si 0.0000 0.0000 0.0000
Ni1 Ni 0.0000 0.0000 0.5000
O1 O 0.0000 0.0000 0.0992
```